--- 1 ---
VASP calculation (PBE) on a relaxed structure of Ta3AgSe.

Summary:
- Symmetry: Pm-3m, No. 221
- Total magnetization: 0.00 μB/atom

a b c (Å): 4.727 4.727 4.727
angles (deg): 90.00 90.00 90.00
Element x y z (fractional)
Se  0.000  0.000  0.000
Ag  0.500  0.500  0.500
Ta  0.000  0.500  0.000
Ta  0.000  0.000  0.500
Ta  0.500  0.000  0.000



--- 2 ---
VASP calculation (PBE) on a relaxed structure of Ta3AgSe.

Summary:
- Symmetry: Pm-3m, No. 221
- Total magnetization: 0.00 μB/atom

a b c (Å): 4.919 4.919 4.919
angles (deg): 90.00 90.00 90.00
Element x y z (fractional)
Se  0.500  0.500  0.500
Ag  0.000  0.000  0.000
Ta  0.000  0.500  0.000
Ta  0.000  0.000  0.500
Ta  0.500  0.000  0.000



The most stable of them is 1.



--- 1 ---
VASP calculation (PBE) on a relaxed structure of TcAgSe2.

Summary:
- Symmetry: P1, No. 1
- Total magnetization: 0.00 μB/atom

a b c (Å): 7.415 4.382 5.398
angles (deg): 94.37 83.66 83.54
Element x y z (fractional)
Ag  0.447  0.106  0.243
Ag  0.493  0.583  0.600
Tc  0.970  0.037  0.790
Tc  0.970  0.654  0.054
Se  0.237  0.287  0.881
Se  0.765  0.904  0.449
Se  0.703  0.404  0.963
Se  0.175  0.787  0.395



--- 2 ---
VASP calculation (PBE) on a relaxed structure of TcAgSe2.

Summary:
- Symmetry: R3m, No. 160
- Total magnetization: 0.00 μB/atom

a b c (Å): 10.228 10.228 10.228
angles (deg): 17.15 17.15 17.15
Element x y z (fractional)
Ag  0.758  0.758  0.758
Se  0.014  0.014  0.014
Se  0.225  0.225  0.225
Tc  0.503  0.503  0.503



--- 3 ---
VASP calculation (PBE) on a relaxed structure of TcAgSe2.

Summary:
- Symmetry: P-1, No. 2
- Total magnetization: 0.00 μB/atom

a b c (Å): 7.663 4.637 5.373
angles (deg): 97.40 87.66 107.62
Element x y z (fractional)
Ag  0.359  0.510  0.420
Ag  0.581  0.121  0.424
Tc  0.970  0.998  0.801
Tc  0.970  0.632  0.043
Se  0.233  0.446  0.921
Se  0.764  0.712  0.422
Se  0.708  0.184  0.923
Se  0.176  0.918  0.421



The most stable of them is 3.



--- 1 ---
VASP calculation (PBE) on a relaxed structure of TcAgSe2.

Summary:
- Symmetry: Cmmm, No. 65
- Total magnetization: 0.05 μB/atom

a b c (Å): 2.922 2.922 10.483
angles (deg): 90.00 90.00 117.31
Site moments in Bohr magnetons follow the coordinates.
Element x y z (fractional)
Ag  0.500  0.500  0.750  0.00
Se  0.000  0.000  0.054  0.00
Se  0.000  0.000  0.446  0.00
Tc  0.500  0.500  0.250  0.17



--- 2 ---
VASP calculation (PBE) on a relaxed structure of TcAgSe2.

Summary:
- Symmetry: P1, No. 1
- Total magnetization: 0.00 μB/atom

a b c (Å): 7.423 4.640 5.572
angles (deg): 101.38 86.03 109.20
Element x y z (fractional)
Ag  0.270  0.318  0.250
Ag  0.578  0.206  0.469
Tc  0.987  0.061  0.829
Tc  0.985  0.707  0.066
Se  0.262  0.553  0.886
Se  0.771  0.796  0.451
Se  0.712  0.245  0.951
Se  0.196  0.876  0.474



The most stable of them is 2.



--- 1 ---
VASP calculation (PBE) on a relaxed structure of TcAgSe2.

Summary:
- Symmetry: Cmcm, No. 63
- Total magnetization: 0.00 μB/atom

a b c (Å): 11.374 11.374 4.778
angles (deg): 90.00 90.00 165.46
Element x y z (fractional)
Se  0.165  0.835  0.250
Se  0.835  0.165  0.750
Se  0.934  0.066  0.250
Se  0.066  0.934  0.750
Tc  0.042  0.958  0.250
Tc  0.958  0.042  0.750
Ag  0.293  0.707  0.250
Ag  0.707  0.293  0.750



--- 2 ---
VASP calculation (PBE) on a relaxed structure of TcAgSe2.

Summary:
- Symmetry: Pnma, No. 62
- Total magnetization: 0.00 μB/atom

a b c (Å): 6.174 3.125 16.646
angles (deg): 90.00 90.00 90.00
Element x y z (fractional)
Se  0.720  0.250  0.482
Se  0.780  0.750  0.982
Se  0.280  0.750  0.518
Se  0.220  0.250  0.018
Se  0.436  0.250  0.687
Se  0.064  0.750  0.187
Se  0.564  0.750  0.313
Se  0.936  0.250  0.813
Tc  0.364  0.250  0.403
Tc  0.136  0.750  0.903
Tc  0.636  0.750  0.597
Tc  0.864  0.250  0.097
Ag  0.005  0.250  0.649
Ag  0.495  0.750  0.149
Ag  0.995  0.750  0.351
Ag  0.505  0.250  0.851



--- 3 ---
VASP calculation (PBE) on a relaxed structure of TcAgSe2.

Summary:
- Symmetry: P4mm, No. 99
- Total magnetization: 0.00 μB/atom

a b c (Å): 2.989 2.989 8.977
angles (deg): 90.00 90.00 90.00
Element x y z (fractional)
Ag  0.500  0.500  0.721
Se  0.000  0.000  0.956
Se  0.500  0.500  0.336
Tc  0.000  0.000  0.487



--- 4 ---
VASP calculation (PBE) on a relaxed structure of TcAgSe2.

Summary:
- Symmetry: C2/c, No. 15
- Total magnetization: 0.00 μB/atom

a b c (Å): 5.392 7.430 7.430
angles (deg): 42.81 99.68 80.32
Element x y z (fractional)
Se  0.106  0.226  0.033
Se  0.394  0.533  0.726
Se  0.894  0.774  0.967
Se  0.606  0.467  0.274
Tc  0.750  0.251  0.751
Tc  0.250  0.749  0.249
Ag  0.750  0.828  0.328
Ag  0.250  0.172  0.672



The most stable of them is 4.



--- 1 ---
VASP calculation (PBE) on a relaxed structure of TcAgSe2.

Summary:
- Symmetry: I-42d, No. 122
- Total magnetization: 0.00 μB/atom

a b c (Å): 5.839 5.839 7.100
angles (deg): 65.72 65.72 90.00
Element x y z (fractional)
Se  0.586  0.125  0.250
Se  0.164  0.625  0.250
Se  0.375  0.414  0.750
Se  0.875  0.836  0.750
Tc  0.500  0.500  0.000
Tc  0.250  0.750  0.500
Ag  0.000  0.000  0.000
Ag  0.750  0.250  0.500



--- 2 ---
VASP calculation (PBE) on a relaxed structure of TcAgSe2.

Summary:
- Symmetry: I4/mcm, No. 140
- Total magnetization: 0.00 μB/atom

a b c (Å): 8.016 8.016 6.344
angles (deg): 50.82 50.82 90.00
Element x y z (fractional)
Se  0.832  0.332  0.000
Se  0.168  0.668  0.000
Se  0.332  0.168  0.000
Se  0.668  0.832  0.000
Tc  0.750  0.250  0.500
Tc  0.250  0.750  0.500
Ag  0.750  0.750  0.500
Ag  0.250  0.250  0.500



The most stable of them is 2.



--- 1 ---
VASP calculation (PBE) on a relaxed structure of TcAgSe4.

Summary:
- Symmetry: F-43m, No. 216
- Total magnetization: 0.73 μB/atom

a b c (Å): 5.690 5.690 5.690
angles (deg): 60.00 60.00 60.00
Site moments in Bohr magnetons follow the coordinates.
Element x y z (fractional)
Tc  0.750  0.750  0.750  3.50
Ag  0.000  0.000  0.000  -0.02
Se  0.875  0.375  0.375  0.09
Se  0.375  0.375  0.875  0.09
Se  0.375  0.875  0.375  0.09
Se  0.375  0.375  0.375  0.09



--- 2 ---
VASP calculation (PBE) on a relaxed structure of TcAgSe4.

Summary:
- Symmetry: C2/c, No. 15
- Total magnetization: 0.00 μB/atom

a b c (Å): 5.620 7.038 7.043
angles (deg): 106.89 99.04 98.99
Element x y z (fractional)
Tc  0.750  0.943  0.057
Tc  0.250  0.057  0.943
Ag  0.250  0.447  0.553
Ag  0.750  0.553  0.447
Se  0.996  0.288  0.134
Se  0.009  0.873  0.350
Se  0.504  0.866  0.712
Se  0.496  0.134  0.288
Se  0.004  0.712  0.866
Se  0.509  0.351  0.874
Se  0.491  0.649  0.126
Se  0.991  0.127  0.650



The most stable of them is 2.



--- 1 ---
VASP calculation (PBE) on a relaxed structure of Ag3TeSe4.

Summary:
- Symmetry: C2/m, No. 12
- Total magnetization: 0.00 μB/atom

a b c (Å): 4.078 6.886 6.886
angles (deg): 70.75 90.63 90.63
Element x y z (fractional)
Te  0.500  0.500  0.000
Se  0.000  0.756  0.744
Se  0.558  0.754  0.254
Se  0.000  0.244  0.256
Se  0.442  0.246  0.746
Ag  0.500  0.000  0.500
Ag  0.000  0.000  0.000
Ag  0.000  0.500  0.500



--- 2 ---
VASP calculation (PBE) on a relaxed structure of Ag3TeSe4.

Summary:
- Symmetry: Pmn2_1, No. 31
- Total magnetization: 0.00 μB/atom

a b c (Å): 7.136 7.465 8.673
angles (deg): 90.00 90.00 90.00
Element x y z (fractional)
Ag  0.511  0.847  0.000
Ag  0.993  0.675  0.245
Ag  0.493  0.325  0.255
Ag  0.011  0.153  0.500
Ag  0.493  0.325  0.745
Ag  0.993  0.675  0.755
Te  0.005  0.171  0.000
Te  0.505  0.829  0.500
Se  0.135  0.839  0.000
Se  0.630  0.182  0.000
Se  0.124  0.340  0.257
Se  0.624  0.660  0.243
Se  0.130  0.818  0.500
Se  0.635  0.161  0.500
Se  0.624  0.660  0.757
Se  0.124  0.340  0.743



The most stable of them is 1.



--- 1 ---
VASP calculation (PBE) on a relaxed structure of AgTeSe4.

Summary:
- Symmetry: F-43m, No. 216
- Total magnetization: 0.00 μB/atom

a b c (Å): 5.785 5.785 5.785
angles (deg): 60.00 60.00 60.00
Element x y z (fractional)
Ag  0.000  0.000  0.000
Te  0.750  0.750  0.750
Se  0.875  0.375  0.375
Se  0.375  0.375  0.875
Se  0.375  0.875  0.375
Se  0.375  0.375  0.375



--- 2 ---
VASP calculation (PBE) on a relaxed structure of AgTeSe4.

Summary:
- Symmetry: P2/c, No. 13
- Total magnetization: 0.00 μB/atom

a b c (Å): 4.913 9.140 8.107
angles (deg): 90.00 90.00 69.51
Element x y z (fractional)
Ag  0.000  0.250  0.746
Ag  0.000  0.750  0.254
Te  0.500  0.250  0.284
Te  0.500  0.750  0.716
Se  0.245  0.504  0.055
Se  0.222  0.423  0.562
Se  0.755  0.996  0.055
Se  0.778  0.577  0.438
Se  0.778  0.077  0.562
Se  0.245  0.004  0.945
Se  0.222  0.923  0.438
Se  0.755  0.496  0.945



The most stable of them is 2.